# 1
GGA-PBE NaZnPd2, relaxed; space-group type = I-42d, No. 122; energy of formation from the pure elements = 0.046 eV/atom
1.0
4.0096 0.0000 0.0000
0.0000 4.0096 0.0000
2.0048 2.0048 9.0032
Pd Zn Na
4 2 2
direct
0.8750 0.8957 0.7500 Pd
0.1043 0.6250 0.2500 Pd
0.6457 0.1250 0.2500 Pd
0.3750 0.3543 0.7500 Pd
0.0000 0.0000 0.0000 Zn
0.7500 0.2500 0.5000 Zn
0.5000 0.5000 0.0000 Na
0.2500 0.7500 0.5000 Na

# 2
GGA-PBE SrPBr, relaxed; space-group type = I4mm, No. 107; formation energy (no corrections) = -55.04 kJ per mole of atoms
1.0
-3.1550 -2.4400 7.1182
-0.0008 -4.1288 7.0378
1.3360 2.3852 2.3094
Sr Br P
1 1 1
direct
0.6588 0.6588 0.3412 Sr
0.0453 0.0453 0.9547 Br
0.2960 0.2959 0.7040 P

# 3
GGA-PBE Ce5Sc3P8, relaxed; space-group type = R-3m, No. 166; energy of formation from the pure elements = -1.467 eV/atom
1.0
6.8998 0.0000 3.9522
2.3180 6.4988 3.9522
0.0458 0.0323 7.9189
Ce P Sc
5 8 3
direct
0.5000 0.5000 0.5000 Ce
0.0000 0.5000 0.0000 Ce
0.5000 0.0000 0.0000 Ce
0.5000 0.5000 0.0000 Ce
0.0000 0.0000 0.0000 Ce
0.7558 0.7558 0.7326 P
0.7500 0.7500 0.2637 P
0.2500 0.7637 0.7363 P
0.2500 0.2500 0.7363 P
0.7637 0.2500 0.7363 P
0.7500 0.2363 0.2637 P
0.2442 0.2442 0.2674 P
0.2363 0.7500 0.2637 P
0.0000 0.5000 0.5000 Sc
0.5000 0.0000 0.5000 Sc
0.0000 0.0000 0.5000 Sc

# 4
GGA-PBE SrGaCo2N, relaxed; space-group type = Cmcm, No. 63; formation energy (no corrections) = -34.18 kJ per mole of atoms
1.0
4.0174 0.0000 0.0000
-2.0087 5.3996 0.0000
0.0000 0.0000 6.9058
Sr Ga Co N
2 2 4 2
direct
0.4463 0.8926 0.7500 Sr
0.5537 0.1074 0.2500 Sr
0.7262 0.4524 0.7500 Ga
0.2738 0.5476 0.2500 Ga
0.8443 0.6886 0.4369 Co
0.1557 0.3114 0.9369 Co
0.8443 0.6886 0.0631 Co
0.1557 0.3114 0.5631 Co
0.0000 0.0000 0.0000 N
0.0000 0.0000 0.5000 N

# 5
GGA-PBE PmSmPCl, relaxed; space-group type = R3m, No. 160; formation energy (no corrections) = -152.10 kJ per mole of atoms
1.0
4.0128 -0.0013 -0.0001
-2.0066 3.4763 0.0001
-2.0052 -1.1575 7.2204
Pm Sm Cl P
1 1 1 1
direct
0.1107 0.9533 0.0790 Pm
0.4956 0.1457 0.6567 Sm
0.9673 0.3816 0.3643 Cl
0.3043 0.5501 0.8696 P

# 6
GGA-PBE Ho2Cd3Rh2, relaxed; space-group type = C2/m, No. 12; energy of formation from the pure elements = -0.506 eV/atom
1.0
4.0888 0.0000 0.0000
-2.0444 4.9643 0.1018
0.0000 -1.0169 7.4347
Cd Rh Ho
3 2 2
direct
0.3047 0.6094 0.1327 Cd
0.6953 0.3906 0.8673 Cd
0.0000 0.0000 0.0000 Cd
0.0905 0.1809 0.6466 Rh
0.9095 0.8191 0.3534 Rh
0.3757 0.7514 0.6345 Ho
0.6243 0.2486 0.3655 Ho

# 7
GGA-PBE Rb2HfCCl, relaxed; space-group type = P4/mmm, No. 123; formation energy (no corrections) = 154.69 kJ per mole of atoms
1.0
-2.6411 6.2670 -1.5201
-3.0450 -1.6149 -1.3673
-2.9729 0.2744 6.2966
Cl Rb Hf C
1 2 1 1
direct
0.0000 0.5000 0.0000 Cl
0.5000 0.0000 0.0000 Rb
0.0000 0.0000 0.5000 Rb
0.5000 0.5000 0.5000 Hf
0.0000 0.0000 0.0000 C

# 8
GGA-PBE Er2NiAu, relaxed; space-group type = P4/mmm, No. 123; energy of formation from the pure elements = -0.642 eV/atom
1.0
3.4463 0.0000 0.0000
0.0000 3.4463 0.0000
0.0000 0.0000 7.0118
Ni Au Er
1 1 2
direct
0.5000 0.5000 0.0000 Ni
0.5000 0.5000 0.5000 Au
0.0000 0.0000 0.7659 Er
0.0000 0.0000 0.2341 Er